[1]
Entry from Alexandria via LeMat-Bulk: a relaxed structure of CaCu6Pd2 (PBE-GGA).

Calculated values
SG = P6/mmm (191)
ΔH_f (0 K) = 151 meV/atom

Cell lengths 5.1109, 5.1109, 6.7658 Å; angles 90.00, 90.00, 120.00 degrees
With the nearest neighbours (Å) after each atom.
Fractional positions:
Pd  0.3333  0.6667  0.5000  6 Cu 2.58
Pd  0.6667  0.3333  0.5000  6 Cu 2.58
Cu  0.0000  0.5001  0.1880  5 Cu 2.54-2.56, 2 Pd 2.58
Cu  0.5001  0.5001  0.8120  5 Cu 2.54-2.56, 2 Pd 2.58
Cu  0.4999  0.4999  0.1880  5 Cu 2.54-2.56, 2 Pd 2.58
Cu  0.4999  0.0000  0.8120  5 Cu 2.54-2.56, 2 Pd 2.58
Cu  0.0000  0.4999  0.8120  5 Cu 2.54-2.56, 2 Pd 2.58
Cu  0.5001  0.0000  0.1880  5 Cu 2.54-2.56, 2 Pd 2.58
Ca  0.0000  0.0000  0.0000  12 Cu 2.85



[2]
Entry from Alexandria via LeMat-Bulk: a relaxed structure of CaCu2Pd2 (PBE-GGA).

Calculated values
distance to the lowest polymorph of the same formula = 0.017 eV per atom
SG = I4/mmm (139)
ΔH_f (0 K) = -276 meV/atom

Cell lengths 4.1763, 4.1763, 5.9283 Å; angles 69.38, 69.38, 90.00 degrees
With the nearest neighbours (Å) after each atom.
Fractional positions:
Ca  0.0000  0.0000  0.0000  8 Cu 3.17, 8 Pd 3.31
Cu  0.6117  0.6117  0.7766  1 Cu 2.30, 4 Pd 2.53
Cu  0.3883  0.3883  0.2234  1 Cu 2.30, 4 Pd 2.53
Pd  0.7500  0.2500  0.5000  4 Cu 2.53
Pd  0.2500  0.7500  0.5000  4 Cu 2.53



[3]
Entry from Alexandria via LeMat-Bulk: a relaxed structure of Ca3CuPd3 (PBE-GGA).

Calculated values
SG = Cmcm (63)
ΔH_f (0 K) = -592 meV/atom

Cell lengths 4.2025, 5.6475, 14.0524 Å; angles 90.00, 90.00, 111.84 degrees
With the nearest neighbours (Å) after each atom.
Fractional positions:
Pd  0.0795  0.1590  0.4128  2 Cu 2.57, 1 Pd 2.75
Pd  0.0795  0.1590  0.0872  2 Cu 2.57, 1 Pd 2.75
Pd  0.9205  0.8410  0.5872  2 Cu 2.57, 1 Pd 2.75
Pd  0.2245  0.4490  0.2500  2 Pd 2.75, 7 Ca 3.03-3.05
Pd  0.9205  0.8410  0.9128  2 Cu 2.57, 1 Pd 2.75
Pd  0.7755  0.5510  0.7500  2 Pd 2.75, 7 Ca 3.03-3.05
Ca  0.2062  0.4125  0.6016  6 Pd 2.97-3.08
Ca  0.5139  0.0277  0.2500  7 Pd 3.03-3.18
Ca  0.4861  0.9723  0.7500  7 Pd 3.03-3.18
Ca  0.7938  0.5875  0.3984  6 Pd 2.97-3.08
Ca  0.7938  0.5875  0.1016  6 Pd 2.97-3.08
Ca  0.2062  0.4125  0.8984  6 Pd 2.97-3.08
Cu  0.5000  0.0000  0.5000  4 Pd 2.57
Cu  0.5000  0.0000  0.0000  4 Pd 2.57



[4]
Entry from Alexandria via LeMat-Bulk: a relaxed structure of CaCu4Pd (PBE-GGA).

Calculated values
SG = F-43m (216)
ΔH_f (0 K) = -233 meV/atom

Cell lengths 5.0228, 5.0228, 5.0228 Å; angles 60.00, 60.00, 60.00 degrees
With the nearest neighbours (Å) after each atom.
Fractional positions:
Cu  0.1274  0.6242  0.6242  6 Cu 2.50-2.53
Cu  0.6242  0.1274  0.6242  6 Cu 2.50-2.53
Cu  0.6242  0.6242  0.1274  6 Cu 2.50-2.53
Cu  0.6242  0.6242  0.6242  6 Cu 2.50-2.53
Pd  0.2500  0.2500  0.2500  12 Cu 2.94, 4 Ca 3.08
Ca  0.0000  0.0000  0.0000  12 Cu 2.95, 4 Pd 3.08



[5]
Entry from Alexandria via LeMat-Bulk: a relaxed structure of CaCu2Pd (PBE-GGA).

Calculated values
SG = I-42d (122)
ΔH_f (0 K) = -53 meV/atom

Cell lengths 4.3462, 4.3462, 9.4656 Å; angles 76.73, 76.73, 90.00 degrees
With the nearest neighbours (Å) after each atom.
Fractional positions:
Cu  0.9596  0.6250  0.2500  2 Cu 2.29, 2 Pd 2.52
Cu  0.3750  0.2096  0.7500  2 Cu 2.29, 2 Pd 2.52
Cu  0.8750  0.0404  0.7500  2 Cu 2.29, 2 Pd 2.52
Cu  0.7904  0.1250  0.2500  2 Cu 2.29, 2 Pd 2.52
Pd  0.0000  0.0000  0.0000  4 Cu 2.52
Pd  0.7500  0.2500  0.5000  4 Cu 2.52
Ca  0.5000  0.5000  0.0000  4 Pd 3.07, 4 Cu 3.07
Ca  0.2500  0.7500  0.5000  4 Pd 3.07, 4 Cu 3.07



[6]
Entry from Alexandria via LeMat-Bulk: a relaxed structure of CaCu2Pd (PBE-GGA).

Calculated values
SG = R-3m (166)
ΔH_f (0 K) = -253 meV/atom

Cell lengths 4.3263, 4.3263, 5.3502 Å; angles 66.15, 66.15, 60.00 degrees
With the nearest neighbours (Å) after each atom.
Fractional positions:
Cu  0.8014  0.8014  0.5957  3 Pd 2.54, 3 Cu 2.66, 1 Ca 2.82
Cu  0.1986  0.1986  0.4043  3 Pd 2.54, 3 Cu 2.66, 1 Ca 2.82
Ca  0.0000  0.0000  0.0000  8 Cu 2.82-3.15
Pd  0.5000  0.5000  0.5000  6 Cu 2.54



[7]
Entry from Alexandria via LeMat-Bulk: a relaxed structure of CaCu2Pd2 (PBE-GGA).

Calculated values
distance to the lowest polymorph of the same formula = 0.000 eV per atom
SG = P4/mbm (127)
ΔH_f (0 K) = -293 meV/atom

Cell lengths 7.3850, 7.3850, 3.0060 Å; angles 90.00, 90.00, 90.00 degrees
With the nearest neighbours (Å) after each atom.
Fractional positions:
Pd  0.1734  0.6734  0.5000  6 Cu 2.63-2.67
Pd  0.6734  0.8266  0.5000  6 Cu 2.63-2.67
Pd  0.8266  0.3266  0.5000  6 Cu 2.63-2.67
Pd  0.3266  0.1734  0.5000  6 Cu 2.63-2.67
Cu  0.6204  0.1204  0.0000  1 Cu 2.51, 6 Pd 2.63-2.67
Cu  0.8796  0.6204  0.0000  1 Cu 2.51, 6 Pd 2.63-2.67
Cu  0.1204  0.3796  0.0000  1 Cu 2.51, 6 Pd 2.63-2.67
Cu  0.3796  0.8796  0.0000  1 Cu 2.51, 6 Pd 2.63-2.67
Ca  0.5000  0.5000  0.0000  4 Cu 2.94, 2 Ca 3.01, 8 Pd 3.12
Ca  0.0000  0.0000  0.0000  4 Cu 2.94, 2 Ca 3.01, 8 Pd 3.12



[8]
Entry from Alexandria via LeMat-Bulk: a relaxed structure of Ca3Cu7Pd2 (PBE-GGA).

Calculated values
SG = R-3m (166)
ΔH_f (0 K) = -252 meV/atom

Cell lengths 5.1998, 5.1998, 9.1426 Å; angles 73.48, 73.48, 60.00 degrees
With the nearest neighbours (Å) after each atom.
Fractional positions:
Cu  0.4161  0.4161  0.2522  5 Cu 2.60-2.61, 2 Pd 2.63-2.66
Cu  0.0845  0.5839  0.7478  5 Cu 2.60-2.61, 2 Pd 2.63-2.66
Cu  0.5839  0.0845  0.7478  5 Cu 2.60-2.61, 2 Pd 2.63-2.66
Cu  0.9155  0.4161  0.2522  5 Cu 2.60-2.61, 2 Pd 2.63-2.66
Cu  0.5000  0.5000  0.5000  6 Cu 2.61
Cu  0.4161  0.9155  0.2522  5 Cu 2.60-2.61, 2 Pd 2.63-2.66
Cu  0.5839  0.5839  0.7478  5 Cu 2.60-2.61, 2 Pd 2.63-2.66
Ca  0.1401  0.1401  0.5798  12 Cu 2.98-3.20, 3 Ca 3.30
Ca  0.0000  0.0000  0.0000  6 Pd 3.00
Ca  0.8599  0.8599  0.4202  12 Cu 2.98-3.20, 3 Ca 3.30
Pd  0.6673  0.6673  0.9980  6 Cu 2.63-2.66
Pd  0.3327  0.3327  0.0020  6 Cu 2.63-2.66



[9]
Entry from Alexandria via LeMat-Bulk: a relaxed structure of CaCu5Pd2 (PBE-GGA).

Calculated values
SG = Immm (71)
ΔH_f (0 K) = -70 meV/atom

Cell lengths 3.8569, 6.2176, 6.2176 Å; angles 69.94, 71.93, 71.93 degrees
With the nearest neighbours (Å) after each atom.
Fractional positions:
Ca  0.0000  0.0000  0.0000  4 Pd 2.93, 8 Cu 3.27
Cu  0.6338  0.5408  0.1917  4 Cu 2.49-2.62, 3 Pd 2.50-2.61
Cu  0.0000  0.5000  0.5000  2 Pd 2.51, 8 Cu 2.62
Cu  0.6338  0.1917  0.5408  4 Cu 2.49-2.62, 3 Pd 2.50-2.61
Cu  0.3662  0.4592  0.8083  4 Cu 2.49-2.62, 3 Pd 2.50-2.61
Cu  0.3662  0.8083  0.4592  4 Cu 2.49-2.62, 3 Pd 2.50-2.61
Pd  0.7341  0.7659  0.7659  7 Cu 2.50-2.61
Pd  0.2659  0.2341  0.2341  7 Cu 2.50-2.61



[10]
Entry from Alexandria via LeMat-Bulk: a relaxed structure of CaCu2Pd3 (PBE-GGA).

Calculated values
SG = R-3m (166)
ΔH_f (0 K) = -274 meV/atom

Cell lengths 5.7113, 5.7113, 7.6130 Å; angles 67.97, 67.97, 60.00 degrees
With the nearest neighbours (Å) after each atom.
Fractional positions:
Pd  0.2402  0.7286  0.3025  3 Cu 2.64-2.67, 4 Pd 2.79-2.92, 3 Ca 2.88-2.89
Pd  0.7598  0.2714  0.6975  3 Cu 2.64-2.67, 4 Pd 2.79-2.92, 3 Ca 2.88-2.89
Pd  0.7286  0.7286  0.3025  3 Cu 2.64-2.67, 4 Pd 2.79-2.92, 3 Ca 2.88-2.89
Pd  0.2714  0.2714  0.6975  3 Cu 2.64-2.67, 4 Pd 2.79-2.92, 3 Ca 2.88-2.89
Pd  0.7286  0.2402  0.3025  3 Cu 2.64-2.67, 4 Pd 2.79-2.92, 3 Ca 2.88-2.89
Pd  0.2714  0.7598  0.6975  3 Cu 2.64-2.67, 4 Pd 2.79-2.92, 3 Ca 2.88-2.89
Cu  0.5000  0.0000  0.0000  4 Pd 2.64, 6 Cu 2.86, 2 Ca 2.95
Cu  0.5000  0.5000  0.0000  4 Pd 2.64, 6 Cu 2.86, 2 Ca 2.95
Cu  0.0000  0.0000  0.0000  6 Pd 2.67, 6 Cu 2.86
Cu  0.0000  0.5000  0.0000  4 Pd 2.64, 6 Cu 2.86, 2 Ca 2.95
Ca  0.7853  0.7853  0.6442  9 Pd 2.88-2.89, 3 Cu 2.95
Ca  0.2147  0.2147  0.3558  9 Pd 2.88-2.89, 3 Cu 2.95



[11]
Entry from Alexandria via LeMat-Bulk: a relaxed structure of CaCu2Pd2 (PBE-GGA).

Calculated values
distance to the lowest polymorph of the same formula = 0.031 eV per atom
SG = P4/mbm (127)
ΔH_f (0 K) = -261 meV/atom

Cell lengths 7.4052, 7.4052, 3.0141 Å; angles 90.00, 90.00, 90.00 degrees
With the nearest neighbours (Å) after each atom.
Fractional positions:
Cu  0.8423  0.3423  0.5000  6 Pd 2.63-2.65
Cu  0.1577  0.6577  0.5000  6 Pd 2.63-2.65
Cu  0.6577  0.8423  0.5000  6 Pd 2.63-2.65
Cu  0.3423  0.1577  0.5000  6 Pd 2.63-2.65
Ca  0.5000  0.5000  0.0000  4 Pd 2.88, 2 Ca 3.01, 8 Cu 3.17
Ca  0.0000  0.0000  0.0000  4 Pd 2.88, 2 Ca 3.01, 8 Cu 3.17
Pd  0.6364  0.1364  0.0000  6 Cu 2.63-2.65, 1 Pd 2.86, 2 Ca 2.88
Pd  0.1364  0.3636  0.0000  6 Cu 2.63-2.65, 1 Pd 2.86, 2 Ca 2.88
Pd  0.3636  0.8636  0.0000  6 Cu 2.63-2.65, 1 Pd 2.86, 2 Ca 2.88
Pd  0.8636  0.6364  0.0000  6 Cu 2.63-2.65, 1 Pd 2.86, 2 Ca 2.88



[12]
Entry from Alexandria via LeMat-Bulk: a relaxed structure of Ca3Cu2Pd7 (PBE-GGA).

Calculated values
SG = R-3m (166)
ΔH_f (0 K) = -537 meV/atom

Cell lengths 5.4477, 5.4477, 9.1595 Å; angles 72.70, 72.70, 60.00 degrees
With the nearest neighbours (Å) after each atom.
Fractional positions:
Ca  0.0000  0.0000  0.0000  6 Cu 3.15, 12 Pd 3.42
Ca  0.1399  0.1399  0.5804  12 Pd 3.13-3.31, 3 Ca 3.44
Ca  0.8601  0.8601  0.4196  12 Pd 3.13-3.31, 3 Ca 3.44
Pd  0.9215  0.4186  0.2412  2 Cu 2.60-2.61, 5 Pd 2.71-2.74
Pd  0.5000  0.5000  0.5000  6 Pd 2.73
Pd  0.4186  0.9215  0.2412  2 Cu 2.60-2.61, 5 Pd 2.71-2.74
Pd  0.0785  0.5814  0.7588  2 Cu 2.60-2.61, 5 Pd 2.71-2.74
Pd  0.5814  0.5814  0.7588  2 Cu 2.60-2.61, 5 Pd 2.71-2.74
Pd  0.4186  0.4186  0.2412  2 Cu 2.60-2.61, 5 Pd 2.71-2.74
Pd  0.5814  0.0785  0.7588  2 Cu 2.60-2.61, 5 Pd 2.71-2.74
Cu  0.3334  0.3334  0.9997  6 Pd 2.60-2.61
Cu  0.6666  0.6666  0.0003  6 Pd 2.60-2.61